Record 1
The following is a PBE-GGA calculation of a relaxed structure of K3CuO3, from Alexandria via LeMat-Bulk.

```
K3CuO3
1.0
7.759 0.000 0.000
-3.879 6.719 0.000
0.000 0.000 5.553
K Cu O
6 2 6
Direct
0.093 0.727 0.250
0.273 0.365 0.250
0.365 0.093 0.750
0.635 0.907 0.250
0.727 0.635 0.750
0.907 0.273 0.750
0.333 0.667 0.750
0.667 0.333 0.250
0.117 0.698 0.750
0.302 0.419 0.750
0.419 0.117 0.250
0.581 0.883 0.750
0.698 0.581 0.250
0.883 0.302 0.250
```

Computed properties:
VASP energy: -4.228 eV per atom
space-group type: P6_3/m, No. 176

=====

Record 2
The following is a PBE-GGA calculation of a relaxed structure of Dy3Al7Au4, from Alexandria via LeMat-Bulk.

```
Dy3Al7Au4
1.0
8.012 -2.161 0.000
8.012 2.161 0.000
-5.805 0.000 7.801
Dy Al Au
3 7 4
Direct
0.000 0.000 0.000
0.310 0.310 0.312
0.690 0.690 0.688
0.000 0.000 0.500
0.152 0.152 0.425
0.325 0.325 0.968
0.498 0.498 0.703
0.502 0.502 0.297
0.675 0.675 0.032
0.848 0.848 0.575
0.126 0.126 0.850
0.345 0.345 0.725
0.655 0.655 0.275
0.874 0.874 0.150
```

Computed properties:
formation enthalpy at 0 K: -66 kJ/mol of atoms
space-group type: C2/m, No. 12

=====

Record 3
The following is a PBE-GGA calculation of a relaxed structure of Hf2Al4Ir, from Alexandria via LeMat-Bulk.

```
Hf2Al4Ir
1.0
-2.298 2.298 6.977
2.298 -2.298 6.977
2.298 2.298 -6.977
Hf Al Ir
2 4 1
Direct
0.130 0.130 0.000
0.870 0.870 0.000
0.000 0.500 0.500
0.323 0.323 0.000
0.500 0.000 0.500
0.677 0.677 0.000
0.500 0.500 0.000
```

Computed properties:
formation enthalpy at 0 K: 21 kJ/mol of atoms
space-group type: I4/mmm, No. 139

=====

Record 4
The following is a PBE-GGA calculation of a relaxed structure of AlMoBr2, from Alexandria via LeMat-Bulk.

```
AlMoBr2
1.0
3.777 0.000 0.000
0.000 3.337 0.000
-1.182 0.000 8.020
Al Mo Br
1 1 2
Direct
0.000 0.000 0.000
0.531 0.500 0.103
0.276 0.500 0.779
0.623 0.000 0.346
```

Computed properties:
offset from the most stable computed form: 0.0347 eV per atom
space-group type: Pm, No. 6

=====

Record 5
The following is a PBE-GGA calculation of a relaxed structure of Dy3YMg12, from Alexandria via LeMat-Bulk.

```
Dy3YMg12
1.0
4.628 0.000 0.000
0.000 4.628 0.000
0.000 0.000 18.970
Dy Y Mg
3 1 12
Direct
0.000 0.000 0.000
0.000 0.000 0.250
0.000 0.000 0.750
0.000 0.000 0.500
0.000 0.500 0.125
0.000 0.500 0.375
0.000 0.500 0.625
0.000 0.500 0.875
0.500 0.000 0.125
0.500 0.000 0.375
0.500 0.000 0.625
0.500 0.000 0.875
0.500 0.500 0.000
0.500 0.500 0.251
0.500 0.500 0.500
0.500 0.500 0.749
```

Computed properties:
formation enthalpy at 0 K: -6 kJ/mol of atoms
space-group type: P4/mmm, No. 123

=====

Record 6
The following is a PBE-GGA calculation of a relaxed structure of BaAlN2F, from Alexandria via LeMat-Bulk.

```
BaAlN2F
1.0
4.819 0.000 0.000
0.000 4.819 0.000
0.000 0.000 4.974
Ba Al N F
1 1 2 1
Direct
0.000 0.000 0.000
0.500 0.500 0.500
0.000 0.500 0.000
0.500 0.000 0.000
0.000 0.000 0.500
```

Computed properties:
offset from the most stable computed form: 2.0016 eV per atom
space-group type: P4/mmm, No. 123

=====

Record 7
The following is a PBE-GGA calculation of a relaxed structure of Ta2InSi, from Alexandria via LeMat-Bulk.

```
Ta2InSi
1.0
0.000 3.311 3.311
3.311 0.000 3.311
3.311 3.311 0.000
Ta In Si
2 1 1
Direct
0.000 0.000 0.000
0.250 0.250 0.250
0.500 0.500 0.500
0.750 0.750 0.750
```

Computed properties:
VASP energy: -7.477 eV per atom
space-group type: F-43m, No. 216

=====

Record 8
The following is a PBE-GGA calculation of a relaxed structure of PI2Br, from Alexandria via LeMat-Bulk.

```
PI2Br
1.0
0.000 3.775 3.775
3.775 0.000 3.775
3.775 3.775 0.000
P I Br
1 2 1
Direct
0.000 0.000 0.000
0.250 0.250 0.250
0.750 0.750 0.750
0.500 0.500 0.500
```

Computed properties:
offset from the most stable computed form: 0.8772 eV per atom
space-group type: Fm-3m, No. 225

=====

Record 9
The following is a PBE-GGA calculation of a relaxed structure of NaRePd, from Alexandria via LeMat-Bulk.

```
NaRePd
1.0
2.724 0.000 0.000
-1.008 5.911 0.000
-0.841 -2.950 6.959
Na Re Pd
2 2 2
Direct
0.203 0.199 0.398
0.797 0.801 0.602
0.402 0.188 0.000
0.598 0.812 0.000
0.101 0.602 0.206
0.899 0.398 0.794
```

Computed properties:
offset from the most stable computed form: 0.0000 eV per atom
formation enthalpy at 0 K: 24 kJ/mol of atoms
space-group type: P-1, No. 2

=====

Record 10
The following is a PBE-GGA calculation of a relaxed structure of CrGa2Cl8, from Alexandria via LeMat-Bulk.

```
CrGa2Cl8
1.0
8.964 -4.365 0.000
8.964 4.365 0.000
-7.551 0.000 9.153
Cr Ga Cl
2 4 16
Direct
0.016 0.984 0.750
0.984 0.016 0.250
0.161 0.676 0.466
0.324 0.839 0.034
0.676 0.161 0.966
0.839 0.324 0.534
0.111 0.172 0.503
0.121 0.708 0.277
0.155 0.711 0.821
0.172 0.111 0.003
0.289 0.845 0.679
0.290 0.396 0.440
0.292 0.879 0.223
0.396 0.290 0.940
0.604 0.710 0.060
0.708 0.121 0.777
0.710 0.604 0.560
0.711 0.155 0.321
0.828 0.889 0.997
0.845 0.289 0.179
0.879 0.292 0.723
0.889 0.828 0.497
```

Computed properties:
VASP energy: -3.828 eV per atom
space-group type: C2/c, No. 15

=====

Record 11
The following is a PBE-GGA calculation of a relaxed structure of PmNd3Dy3Te8, from Alexandria via LeMat-Bulk.

```
PmNd3Dy3Te8
1.0
4.405 2.543 7.226
-4.405 2.543 7.226
0.000 -5.086 7.226
Pm Nd Dy Te
1 3 3 8
Direct
0.000 0.000 0.000
0.000 0.000 0.500
0.000 0.500 0.000
0.500 0.000 0.000
0.000 0.500 0.500
0.500 0.000 0.500
0.500 0.500 0.000
0.254 0.254 0.254
0.257 0.257 0.735
0.257 0.735 0.257
0.265 0.743 0.743
0.735 0.257 0.257
0.743 0.265 0.743
0.743 0.743 0.265
0.746 0.746 0.746
```

Computed properties:
VASP energy: -5.284 eV per atom
space-group type: R-3m, No. 166

=====

Record 12
The following is a PBE-GGA calculation of a relaxed structure of KTcOs2, from Alexandria via LeMat-Bulk.

```
KTcOs2
1.0
4.582 -1.391 0.000
4.582 1.391 0.000
-0.732 0.000 6.693
K Tc Os
1 1 2
Direct
0.000 0.000 0.000
0.219 0.219 0.645
0.499 0.499 0.491
0.776 0.776 0.353
```

Computed properties:
offset from the most stable computed form: 0.3111 eV per atom
formation enthalpy at 0 K: 96 kJ/mol of atoms
space-group type: Cm, No. 8

=====

Record 13
The following is a PBE-GGA calculation of a relaxed structure of LaMn2Pb, from Alexandria via LeMat-Bulk.

```
LaMn2Pb
1.0
0.000 3.621 3.621
3.621 0.000 3.621
3.621 3.621 0.000
La Mn Pb
1 2 1
Direct
0.000 0.000 0.000
0.500 0.500 0.500
0.750 0.750 0.750
0.250 0.250 0.250
```

Computed properties:
formation enthalpy at 0 K: 31 kJ/mol of atoms
space-group type: F-43m, No. 216

=====

Record 14
The following is a PBE-GGA calculation of a relaxed structure of Ta2AgSb, from Alexandria via LeMat-Bulk.

```
Ta2AgSb
1.0
1.518 0.876 9.670
-1.518 0.876 9.670
0.000 -1.753 9.670
Ta Ag Sb
2 1 1
Direct
0.250 0.250 0.250
0.750 0.750 0.750
0.000 0.000 0.000
0.500 0.500 0.500
```

Computed properties:
VASP energy: -7.239 eV per atom
space-group type: R-3m, No. 166

=====

Record 15
The following is a PBE-GGA calculation of a relaxed structure of SmZrOsRu, from Alexandria via LeMat-Bulk.

```
SmZrOsRu
1.0
0.000 3.373 3.373
3.373 0.000 3.373
3.373 3.373 0.000
Sm Zr Os Ru
1 1 1 1
Direct
0.000 0.000 0.000
0.500 0.500 0.500
0.250 0.250 0.250
0.750 0.750 0.750
```

Computed properties:
formation enthalpy at 0 K: -24 kJ/mol of atoms
space-group type: F-43m, No. 216

=====

Record 16
The following is a PBE-GGA calculation of a relaxed structure of LuZrMnPd, from Alexandria via LeMat-Bulk.

```
LuZrMnPd
1.0
0.000 3.309 3.309
3.309 0.000 3.309
3.309 3.309 0.000
Lu Zr Mn Pd
1 1 1 1
Direct
0.000 0.000 0.000
0.500 0.500 0.500
0.750 0.750 0.750
0.250 0.250 0.250
```

Computed properties:
formation enthalpy at 0 K: -26 kJ/mol of atoms
space-group type: F-43m, No. 216

=====

Record 17
The following is a PBE-GGA calculation of a relaxed structure of SrCr2IrAu, from Alexandria via LeMat-Bulk.

```
SrCr2IrAu
1.0
4.736 0.000 0.000
0.000 4.736 0.000
0.000 0.000 5.855
Sr Cr Ir Au
1 2 1 1
Direct
0.000 0.000 0.000
0.000 0.500 0.500
0.500 0.000 0.500
0.000 0.000 0.500
0.500 0.500 0.000
```

Computed properties:
formation enthalpy at 0 K: 60 kJ/mol of atoms
space-group type: P4/mmm, No. 123

=====

Record 18
The following is a PBE-GGA calculation of a relaxed structure of HfGe2B, from Alexandria via LeMat-Bulk.

```
HfGe2B
1.0
-3.234 3.234 3.030
3.234 -3.234 3.030
3.234 3.234 -3.030
Hf Ge B
2 4 2
Direct
0.000 0.000 0.000
0.750 0.250 0.500
0.204 0.625 0.079
0.375 0.454 0.579
0.546 0.125 0.921
0.875 0.796 0.421
0.250 0.750 0.500
0.500 0.500 0.000
```

Computed properties:
formation enthalpy at 0 K: 8 kJ/mol of atoms
space-group type: I-42d, No. 122

=====

Record 19
The following is a PBE-GGA calculation of a relaxed structure of Nd5ThGa4, from Alexandria via LeMat-Bulk.

```
Nd5ThGa4
1.0
8.784 -2.184 0.000
8.784 2.184 0.000
-1.117 0.000 7.889
Nd Th Ga
5 1 4
Direct
0.000 0.000 0.000
0.304 0.304 0.205
0.359 0.359 0.753
0.641 0.641 0.247
0.696 0.696 0.795
0.000 0.000 0.500
0.200 0.200 0.513
0.468 0.468 0.234
0.532 0.532 0.766
0.800 0.800 0.487
```

Computed properties:
formation enthalpy at 0 K: -25 kJ/mol of atoms
space-group type: C2/m, No. 12

=====

Record 20
The following is a PBE-GGA calculation of a relaxed structure of MgAg, from Alexandria via LeMat-Bulk.

```
MgAg
1.0
3.451 0.000 0.000
0.000 3.451 0.000
0.000 0.000 6.431
Mg Ag
2 2
Direct
0.250 0.250 0.153
0.750 0.750 0.847
0.250 0.250 0.627
0.750 0.750 0.373
```

Computed properties:
formation enthalpy at 0 K: -14 kJ/mol of atoms
space-group type: P4/nmm, No. 129

=====

Record 21
The following is a PBE-GGA calculation of a relaxed structure of Pm11Y9Th4, from Alexandria via LeMat-Bulk.

```
Pm11Y9Th4
1.0
8.545 -12.835 0.000
8.545 12.835 0.000
0.000 0.000 3.723
Pm Y Th
11 9 4
Direct
0.000 0.000 0.000
0.048 0.411 0.000
0.157 0.843 0.000
0.293 0.293 0.000
0.367 0.633 0.000
0.411 0.048 0.000
0.589 0.952 0.000
0.633 0.367 0.000
0.707 0.707 0.000
0.843 0.157 0.000
0.952 0.589 0.000
0.067 0.213 0.500
0.162 0.635 0.500
0.213 0.067 0.500
0.365 0.838 0.500
0.500 0.500 0.500
0.635 0.162 0.500
0.787 0.933 0.500
0.838 0.365 0.500
0.933 0.787 0.500
0.242 0.446 0.500
0.446 0.242 0.500
0.554 0.758 0.500
0.758 0.554 0.500
```

Computed properties:
formation enthalpy at 0 K: 10 kJ/mol of atoms
space-group type: Cmmm, No. 65

=====

Record 22
The following is a PBE-GGA calculation of a relaxed structure of Cu3RuAu, from Alexandria via LeMat-Bulk.

```
Cu3RuAu
1.0
4.608 0.000 0.000
0.000 4.608 0.000
0.000 0.000 4.608
Cu Ru Au
3 1 1
Direct
0.000 0.000 0.500
0.000 0.500 0.000
0.500 0.000 0.000
0.000 0.000 0.000
0.500 0.500 0.500
```

Computed properties:
offset from the most stable computed form: 0.0000 eV per atom
formation enthalpy at 0 K: 126 kJ/mol of atoms
space-group type: Pm-3m, No. 221

=====

Record 23
The following is a PBE-GGA calculation of a relaxed structure of TaFe3Si, from Alexandria via LeMat-Bulk.

```
TaFe3Si
1.0
4.081 0.000 0.000
0.000 4.081 0.000
0.000 0.000 4.081
Ta Fe Si
1 3 1
Direct
0.000 0.000 0.000
0.000 0.500 0.500
0.500 0.000 0.500
0.500 0.500 0.000
0.500 0.500 0.500
```

Computed properties:
offset from the most stable computed form: 0.6306 eV per atom
space-group type: Pm-3m, No. 221

=====

Record 24
The following is a PBE-GGA calculation of a relaxed structure of SmScPdRh, from Alexandria via LeMat-Bulk.

```
SmScPdRh
1.0
0.000 3.414 3.414
3.414 0.000 3.414
3.414 3.414 0.000
Sm Sc Pd Rh
1 1 1 1
Direct
0.000 0.000 0.000
0.500 0.500 0.500
0.250 0.250 0.250
0.750 0.750 0.750
```

Computed properties:
formation enthalpy at 0 K: -77 kJ/mol of atoms
space-group type: F-43m, No. 216